A geometry-optimized Mn2As structure, computed with PBE.

Results
E_form	-0.1561	eV per atom
calculated total energy	-7.82	eV/atom
Fermi-level density of states	0.450	states/eV per atom
ρ	7.45	Mg/m³
magnetization	5.00	μB per formula unit
space-group type	P4/nmm (129)

abc: 3.609 3.609 6.324
angles: 90.00 90.00 90.00
Last column: magnetic moment on the atom in μB.
Fractional coordinates of all 6 atoms:
1 Mn 0.500 0.000 0.353  3.02
2 Mn 0.500 0.500 0.000  2.03
3 Mn 0.000 0.000 0.000  2.03
4 Mn 0.000 0.500 0.647  3.02
5 As 0.500 0.000 0.738  -0.11
6 As 0.000 0.500 0.262  -0.11